Record 1
First-principles (PBE) data for a relaxed SrTcRh crystal, as listed in Alexandria.

Output
Polymorph energy (0 for the lowest one): 22 meV per atom
Total magnetization: 0.00 μB/cell
Calculated formation energy: 113 meV/atom

a b c (Å): 4.428 7.629 7.491
angles (deg): 90.00 90.00 90.00
Space group Ima2 (No. 46)
Inequivalent atoms, fractional coordinates:
Sr1 0.250 0.176 0.000 [4 per cell]
Tc1 0.250 0.583 0.156 [4 per cell]
Rh1 0.250 0.606 0.826 [4 per cell]



Record 2
First-principles (PBE) data for a relaxed Li2CeAlGe2 crystal, as listed in Alexandria.

Output
Total magnetization: 1.71 μB/cell
Calculated formation energy: -461 meV/atom

a b c (Å): 4.239 7.836 7.277
angles (deg): 90.00 90.00 90.00
Space group Pmc2_1 (No. 26)
Inequivalent atoms, fractional coordinates:
Li1 0.000 0.069 0.000 [2 per cell]
Li2 0.500 0.165 0.328 [2 per cell]
Ce1 0.500 0.427 0.957 [2 per cell]
Al1 0.000 0.306 0.613 [2 per cell]
Ge1 0.000 0.366 0.247 [2 per cell]
Ge2 0.500 0.140 0.690 [2 per cell]



Record 3
First-principles (PBE) data for a relaxed CdSbRh4 crystal, as listed in Alexandria.

Output
Total magnetization: 0.00 μB/cell
Energy relative to the elements, uncorrected: 0.6 eV/f.u.

a b c (Å): 7.448 7.448 7.448
angles (deg): 90.00 90.00 90.00
Space group F-43m (No. 216)
Inequivalent atoms, fractional coordinates:
Cd1 0.000 0.000 0.000 [4 per cell]
Sb1 0.250 0.250 0.250 [4 per cell]
Rh1 0.125 0.125 0.625 [16 per cell]



Record 4
First-principles (PBE) data for a relaxed K2ZnW crystal, as listed in Alexandria.

Output
Total magnetization: 4.31 μB/cell
Calculated formation energy: 950 meV/atom

a b c (Å): 20.735 3.021 4.364
angles (deg): 90.00 101.96 90.00
Space group C2/m (No. 12)
Inequivalent atoms, fractional coordinates:
K1 0.146 0.000 0.142 [4 per cell]
Zn1 0.000 0.500 0.000 [2 per cell]
W1 0.000 0.000 0.500 [2 per cell]



Record 5
First-principles (PBE) data for a relaxed CeNCl3 crystal, as listed in Alexandria.

Output
Total magnetization: 5.97 μB/cell
Energy relative to the elements, uncorrected: -3.6 eV/f.u.

a b c (Å): 7.394 7.446 8.869
angles (deg): 67.17 68.01 60.54
Space group P1 (No. 1)
Inequivalent atoms, fractional coordinates:
Ce1 0.000 0.000 0.000 [1 per cell]
Ce2 0.335 0.339 0.992 [1 per cell]
N1 0.514 0.524 0.455 [1 per cell]
N2 0.819 0.816 0.534 [1 per cell]
Cl1 0.107 0.344 0.802 [1 per cell]
Cl2 0.229 0.995 0.190 [1 per cell]
Cl3 0.343 0.734 0.806 [1 per cell]
Cl4 0.610 0.230 0.186 [1 per cell]
Cl5 0.723 0.110 0.805 [1 per cell]
Cl6 0.993 0.604 0.186 [1 per cell]



Record 6
First-principles (PBE) data for a relaxed ScTePt crystal, as listed in Alexandria.

Output
Total magnetization: 0.00 μB/cell
Energy relative to the elements, uncorrected: -2.8 eV/f.u.

a b c (Å): 4.576 4.577 8.626
angles (deg): 74.63 89.89 60.07
Space group P-1 (No. 2)
Inequivalent atoms, fractional coordinates:
Sc1 0.126 0.249 0.376 [2 per cell]
Te1 0.393 0.716 0.173 [2 per cell]
Pt1 0.234 0.031 0.704 [2 per cell]



Look up the total magnetization of the sixth one.
0.00 μB/cell



Copy entry 4 word for word.
First-principles (PBE) data for a relaxed K2ZnW crystal, as listed in Alexandria.

Output
Total magnetization: 4.31 μB/cell
Calculated formation energy: 950 meV/atom

a b c (Å): 20.735 3.021 4.364
angles (deg): 90.00 101.96 90.00
Space group C2/m (No. 12)
Inequivalent atoms, fractional coordinates:
K1 0.146 0.000 0.142 [4 per cell]
Zn1 0.000 0.500 0.000 [2 per cell]
W1 0.000 0.000 0.500 [2 per cell]



Please write out number 5 again, unchanged.
First-principles (PBE) data for a relaxed CeNCl3 crystal, as listed in Alexandria.

Output
Total magnetization: 5.97 μB/cell
Energy relative to the elements, uncorrected: -3.6 eV/f.u.

a b c (Å): 7.394 7.446 8.869
angles (deg): 67.17 68.01 60.54
Space group P1 (No. 1)
Inequivalent atoms, fractional coordinates:
Ce1 0.000 0.000 0.000 [1 per cell]
Ce2 0.335 0.339 0.992 [1 per cell]
N1 0.514 0.524 0.455 [1 per cell]
N2 0.819 0.816 0.534 [1 per cell]
Cl1 0.107 0.344 0.802 [1 per cell]
Cl2 0.229 0.995 0.190 [1 per cell]
Cl3 0.343 0.734 0.806 [1 per cell]
Cl4 0.610 0.230 0.186 [1 per cell]
Cl5 0.723 0.110 0.805 [1 per cell]
Cl6 0.993 0.604 0.186 [1 per cell]